Entry 1:
Density functional theory data (GGA-PBEsol) for crystalline NbFeSbI2 at its relaxed geometry.

Unit cell a=5.393 b=5.393 c=5.470 alpha=90.00 beta=90.00 gamma=90.00
Space group P4/mmm (No. 123)
Asymmetric unit:
Nb: 0.000 0.000 0.000 (multiplicity 1)
Fe: 0.500 0.500 0.500 (multiplicity 1)
Sb: 0.000 0.000 0.500 (multiplicity 1)
I: 0.000 0.500 0.000 (multiplicity 2)

Summary:
Its calculated density is 5.5 g/cm3. Its density of states at the Fermi level is 8.3 states/eV/cell. As for the magnetic moment: 3.9 Bohr magnetons per cell. The calculation puts the uncorrected formation energy at 4.96 eV/f.u.



Entry 2:
Density functional theory data (GGA-PBEsol) for crystalline RbBa3Al at its relaxed geometry.

Unit cell a=6.724 b=6.724 c=6.724 alpha=90.00 beta=90.00 gamma=90.00
Space group Pm-3m (No. 221)
Asymmetric unit:
Rb: 0.000 0.000 0.000 (multiplicity 1)
Ba: 0.000 0.500 0.500 (multiplicity 3)
Al: 0.500 0.500 0.500 (multiplicity 1)

Summary:
Its calculated density is 2.9 g/cm3. Its density of states at the Fermi level is 6.1 states/eV/cell. As for the magnetic moment: 0.0 Bohr magnetons per cell. Its formation energy is 61 kJ/mol of formula units.



Entry 3:
Density functional theory data (GGA-PBEsol) for crystalline Ba2NdRuO6 at its relaxed geometry.

Unit cell a=8.470 b=8.470 c=8.470 alpha=90.00 beta=90.00 gamma=90.00
Space group Fm-3m (No. 225)
Asymmetric unit:
Ba: 0.250 0.250 0.250 (multiplicity 8)
Nd: 0.000 0.000 0.000 (multiplicity 4)
Ru: 0.000 0.000 0.500 (multiplicity 4)
O: 0.000 0.000 0.270 (multiplicity 24)

Summary:
Its calculated density is 6.7 g/cm3. Its density of states at the Fermi level is 8.7 states/eV/cell. As for the magnetic moment: 11.8 Bohr magnetons per cell. The calculation puts the uncorrected formation energy at -23.92 eV/f.u.



Entry 4:
Density functional theory data (GGA-PBEsol) for crystalline TlFeP2 at its relaxed geometry.

Unit cell a=2.847 b=2.847 c=8.192 alpha=90.00 beta=90.00 gamma=90.00
Space group P4/mmm (No. 123)
Asymmetric unit:
Tl: 0.000 0.000 0.000 (multiplicity 1)
Fe: 0.000 0.000 0.500 (multiplicity 1)
P: 0.500 0.500 0.343 (multiplicity 2)

Summary:
Its calculated density is 8.1 g/cm3. Its density of states at the Fermi level is 1.3 states/eV/cell. As for the magnetic moment: 1.0 Bohr magnetons per cell. Its formation energy is -7 kJ/mol of formula units. For the energy above the lowest structure with this stoichiometry, the calculation gives 0.000 eV per atom.



Entry 5:
Density functional theory data (GGA-PBEsol) for crystalline HfGeCBr2 at its relaxed geometry.

Unit cell a=4.640 b=4.640 c=4.516 alpha=90.00 beta=90.00 gamma=90.00
Space group P4/mmm (No. 123)
Asymmetric unit:
Hf: 0.000 0.000 0.000 (multiplicity 1)
Ge: 0.500 0.500 0.000 (multiplicity 1)
C: 0.000 0.000 0.500 (multiplicity 1)
Br: 0.000 0.500 0.500 (multiplicity 2)

Summary:
Its calculated density is 7.2 g/cm3. Its density of states at the Fermi level is 3.4 states/eV/cell. As for the magnetic moment: 0.0 Bohr magnetons per cell. The calculation puts the uncorrected formation energy at 4.06 eV/f.u.



Entry 6:
Density functional theory data (GGA-PBEsol) for crystalline AgS2Br at its relaxed geometry.

Unit cell a=3.8102 b=3.8102 c=21.8973 alpha=90.00 beta=90.00 gamma=120.00
Space group R-3m (No. 166, hexagonal axes)
Asymmetric unit:
Ag: 0.0000 0.0000 0.0000 (multiplicity 3)
S: 0.0000 0.0000 0.3894 (multiplicity 6)
Br: 0.0000 0.0000 0.5000 (multiplicity 3)

Summary:
Its calculated density is 4.6 g/cm3. Its density of states at the Fermi level is 8.7 states/eV/cell. As for the magnetic moment: 0.0 Bohr magnetons per cell. The calculation puts the uncorrected formation energy at 0.59 eV/f.u. For the energy above the lowest structure with this stoichiometry, the calculation gives 0.000 eV per atom.



Entry 7:
Density functional theory data (GGA-PBEsol) for crystalline CaCdBr2N at its relaxed geometry.

Unit cell a=5.704 b=5.704 c=3.914 alpha=90.00 beta=90.00 gamma=90.00
Space group P4/mmm (No. 123)
Asymmetric unit:
Ca: 0.000 0.000 0.000 (multiplicity 1)
Cd: 0.500 0.500 0.000 (multiplicity 1)
Br: 0.000 0.500 0.500 (multiplicity 2)
N: 0.500 0.500 0.500 (multiplicity 1)

Summary:
Its calculated density is 4.3 g/cm3. Its density of states at the Fermi level is 2.1 states/eV/cell. As for the magnetic moment: 1.2 Bohr magnetons per cell. The calculation puts the uncorrected formation energy at -0.03 eV/f.u.



Entry 8:
Density functional theory data (GGA-PBEsol) for crystalline Ba4RuPt at its relaxed geometry.

Unit cell a=9.143 b=9.143 c=9.143 alpha=90.00 beta=90.00 gamma=90.00
Space group F-43m (No. 216)
Asymmetric unit:
Ba: 0.125 0.125 0.125 (multiplicity 16)
Ru: 0.250 0.250 0.750 (multiplicity 4)
Pt: 0.000 0.000 0.500 (multiplicity 4)

Summary:
Its calculated density is 7.3 g/cm3. Its density of states at the Fermi level is 30.8 states/eV/cell. As for the magnetic moment: 0.5 Bohr magnetons per cell. Its formation energy is 658 kJ/mol of formula units.



Q: What is the formula in the sixth record?
A: AgS2Br



Q: What is the calculated density in the second record?
A: 2.9 g/cm3



Q: Look up the calculated density of the first one.
A: 5.5 g/cm3